1.
Entry from the Alexandria database: Ce2Y6Ho3Th after structural relaxation (PBE-GGA).

a = 6.144 Å, b = 6.144 Å, c = 11.748 Å
α = 95.01°, β = 95.01°, γ = 119.98°
Fractional coordinates of all 12 atoms:
Ce 0.167 0.833 0.000
Ce 0.833 0.167 0.000
Y 0.085 0.417 0.752
Y 0.251 0.251 0.248
Y 0.417 0.085 0.752
Y 0.583 0.915 0.248
Y 0.749 0.749 0.752
Y 0.915 0.583 0.248
Ho 0.000 0.000 0.500
Ho 0.333 0.667 0.500
Ho 0.667 0.333 0.500
Th 0.500 0.500 0.000

Calculated values
**Symmetry**: C2/m (12)
**Formation enthalpy at 0 K**: 0.59 eV/f.u.
**Magnetization**: 1.37 μB per formula unit

=====

2.
Entry from the Alexandria database: Ce2Y3Ho6Th after structural relaxation (PBE-GGA).

a = 6.119 Å, b = 6.119 Å, c = 11.701 Å
α = 95.01°, β = 95.01°, γ = 119.99°
Fractional coordinates of all 12 atoms:
Ce 0.167 0.833 0.000
Ce 0.833 0.167 0.000
Y 0.000 0.000 0.500
Y 0.333 0.667 0.500
Y 0.667 0.333 0.500
Ho 0.085 0.417 0.754
Ho 0.251 0.251 0.246
Ho 0.417 0.085 0.754
Ho 0.583 0.915 0.246
Ho 0.749 0.749 0.754
Ho 0.915 0.583 0.246
Th 0.500 0.500 0.000

Calculated values
**Symmetry**: C2/m (12)
**Formation enthalpy at 0 K**: 0.52 eV/f.u.
**Magnetization**: 1.21 μB per formula unit

=====

3.
Entry from the Alexandria database: CeHoThZn after structural relaxation (PBE-GGA).

a = 5.248 Å, b = 5.248 Å, c = 5.248 Å
α = 60.00°, β = 60.00°, γ = 60.00°
Fractional coordinates of all 4 atoms:
Ce 0.000 0.000 0.000
Ho 0.750 0.750 0.750
Th 0.250 0.250 0.250
Zn 0.500 0.500 0.500

Calculated values
**Symmetry**: F-43m (216)
**Formation enthalpy at 0 K**: 0.45 eV/f.u.
**Magnetization**: 0.00 μB per formula unit

=====

4.
Entry from the Alexandria database: CeHoTi after structural relaxation (PBE-GGA).

a = 3.488 Å, b = 3.473 Å, c = 12.498 Å
α = 90.00°, β = 90.01°, γ = 90.00°
Fractional coordinates of all 6 atoms:
Ce 0.249 0.250 0.294
Ce 0.751 0.750 0.706
Ho 0.251 0.250 0.895
Ho 0.749 0.750 0.105
Ti 0.250 0.250 0.556
Ti 0.750 0.750 0.444

Calculated values
**Symmetry**: P2_1/m (11)
**Formation enthalpy at 0 K**: 0.45 eV/f.u.
**Magnetization**: 0.00 μB per formula unit

=====

5.
Entry from the Alexandria database: CeHo5Tl4 after structural relaxation (PBE-GGA).

a = 3.556 Å, b = 3.556 Å, c = 21.818 Å
α = 90.00°, β = 90.00°, γ = 90.00°
Fractional coordinates of all 10 atoms:
Ce 0.000 0.000 0.000
Ho 0.500 0.500 0.110
Ho 0.500 0.500 0.305
Ho 0.500 0.500 0.500
Ho 0.500 0.500 0.695
Ho 0.500 0.500 0.890
Tl 0.000 0.000 0.206
Tl 0.000 0.000 0.402
Tl 0.000 0.000 0.598
Tl 0.000 0.000 0.794

Calculated values
**Symmetry**: P4/mmm (123)
**Formation enthalpy at 0 K**: -2.55 eV/f.u.
**Polymorph energy (0 for the lowest one)**: 0 meV/atom
**Magnetization**: 0.07 μB per formula unit

=====

6.
Entry from the Alexandria database: Ce2HoTl4 after structural relaxation (PBE-GGA).

a = 6.608 Å, b = 6.608 Å, c = 6.608 Å
α = 110.20°, β = 110.20°, γ = 108.01°
Fractional coordinates of all 7 atoms:
Ce 0.000 0.500 0.500
Ce 0.500 0.000 0.500
Ho 0.000 0.000 0.000
Tl 0.000 0.000 0.500
Tl 0.000 0.500 0.000
Tl 0.500 0.000 0.000
Tl 0.500 0.500 0.500

Calculated values
**Symmetry**: I4/mmm (139)
**Formation enthalpy at 0 K**: -0.89 eV/f.u.
**Polymorph energy (0 for the lowest one)**: 0 meV/atom
**Magnetization**: 2.70 μB per formula unit

=====

7.
Entry from the Alexandria database: Ce2Ho3Tl4 after structural relaxation (PBE-GGA).

a = 9.094 Å, b = 9.094 Å, c = 9.093 Å
α = 90.00°, β = 90.00°, γ = 133.66°
Fractional coordinates of all 18 atoms:
Ce 0.109 0.891 0.923
Ce 0.391 0.609 0.423
Ce 0.609 0.391 0.577
Ce 0.891 0.109 0.077
Ho 0.000 0.000 0.500
Ho 0.034 0.466 0.750
Ho 0.466 0.034 0.250
Ho 0.500 0.500 0.000
Ho 0.534 0.966 0.750
Ho 0.966 0.534 0.250
Tl 0.184 0.816 0.543
Tl 0.216 0.284 0.750
Tl 0.284 0.216 0.250
Tl 0.316 0.684 0.043
Tl 0.684 0.316 0.957
Tl 0.716 0.784 0.750
Tl 0.784 0.716 0.250
Tl 0.816 0.184 0.457

Calculated values
**Symmetry**: Cmce (64)
**Formation enthalpy at 0 K**: -1.41 eV/f.u.
**Magnetization**: 2.18 μB per formula unit

=====

8.
Entry from the Alexandria database: Ce2Ho2Tl7 after structural relaxation (PBE-GGA).

a = 6.919 Å, b = 6.919 Å, c = 7.950 Å
α = 90.00°, β = 90.00°, γ = 104.34°
Fractional coordinates of all 11 atoms:
Ce 0.196 0.804 0.000
Ce 0.804 0.196 0.000
Ho 0.306 0.306 0.500
Ho 0.694 0.694 0.500
Tl 0.000 0.000 0.297
Tl 0.000 0.000 0.703
Tl 0.000 0.500 0.301
Tl 0.000 0.500 0.699
Tl 0.500 0.000 0.301
Tl 0.500 0.000 0.699
Tl 0.500 0.500 0.000

Calculated values
**Symmetry**: Cmmm (65)
**Formation enthalpy at 0 K**: 1.41 eV/f.u.
**Magnetization**: 2.67 μB per formula unit

=====

9.
Entry from the Alexandria database: CeHo2Tl4 after structural relaxation (PBE-GGA).

a = 10.425 Å, b = 10.425 Å, c = 10.425 Å
α = 27.39°, β = 27.39°, γ = 27.39°
Fractional coordinates of all 7 atoms:
Ce 0.000 0.000 0.000
Ho 0.129 0.129 0.129
Ho 0.871 0.871 0.871
Tl 0.242 0.242 0.242
Tl 0.385 0.385 0.385
Tl 0.615 0.615 0.615
Tl 0.758 0.758 0.758

Calculated values
**Symmetry**: R-3m (166)
**Formation enthalpy at 0 K**: -0.53 eV/f.u.
**Polymorph energy (0 for the lowest one)**: 87 meV/atom
**Magnetization**: 0.89 μB per formula unit

=====

10.
Entry from the Alexandria database: CeHo3Tl2 after structural relaxation (PBE-GGA).

a = 3.657 Å, b = 5.388 Å, c = 8.863 Å
α = 72.41°, β = 89.99°, γ = 89.93°
Fractional coordinates of all 6 atoms:
Ce 0.000 0.000 0.000
Ho 0.500 0.176 0.649
Ho 0.500 0.500 0.000
Ho 0.500 0.824 0.351
Tl 0.000 0.345 0.311
Tl 0.000 0.655 0.689

Calculated values
**Symmetry**: P-1 (2)
**Formation enthalpy at 0 K**: -1.09 eV/f.u.
**Magnetization**: 1.02 μB per formula unit

=====

11.
Entry from the Alexandria database: CeHo5Tl6 after structural relaxation (PBE-GGA).

a = 7.487 Å, b = 7.487 Å, c = 6.509 Å
α = 98.28°, β = 98.28°, γ = 97.09°
Fractional coordinates of all 12 atoms:
Ce 0.000 0.000 0.000
Ho 0.164 0.836 0.500
Ho 0.334 0.666 0.000
Ho 0.500 0.500 0.500
Ho 0.666 0.334 0.000
Ho 0.836 0.164 0.500
Tl 0.082 0.424 0.255
Tl 0.252 0.252 0.742
Tl 0.424 0.082 0.255
Tl 0.576 0.918 0.745
Tl 0.748 0.748 0.258
Tl 0.918 0.576 0.745

Calculated values
**Symmetry**: C2/m (12)
**Formation enthalpy at 0 K**: -2.55 eV/f.u.
**Polymorph energy (0 for the lowest one)**: 93 meV/atom
**Magnetization**: 0.95 μB per formula unit

=====

12.
Entry from the Alexandria database: Ce2Ho5Tl4 after structural relaxation (PBE-GGA).

a = 11.313 Å, b = 11.313 Å, c = 11.313 Å
α = 161.17°, β = 132.29°, γ = 51.73°
Fractional coordinates of all 11 atoms:
Ce 0.068 0.068 0.000
Ce 0.932 0.932 0.000
Ho 0.123 0.340 0.783
Ho 0.443 0.660 0.783
Ho 0.500 0.000 0.500
Ho 0.557 0.340 0.217
Ho 0.877 0.660 0.217
Tl 0.222 0.222 0.000
Tl 0.243 0.500 0.743
Tl 0.757 0.500 0.257
Tl 0.778 0.778 0.000

Calculated values
**Symmetry**: Immm (71)
**Formation enthalpy at 0 K**: -0.21 eV/f.u.
**Magnetization**: 1.81 μB per formula unit

=====

13.
Entry from the Alexandria database: Ce2Ho8Tl after structural relaxation (PBE-GGA).

a = 9.258 Å, b = 9.258 Å, c = 7.774 Å
α = 104.41°, β = 104.41°, γ = 30.68°
Fractional coordinates of all 11 atoms:
Ce 0.223 0.223 0.124
Ce 0.777 0.777 0.876
Ho 0.045 0.045 0.227
Ho 0.138 0.138 0.681
Ho 0.319 0.319 0.594
Ho 0.408 0.408 0.052
Ho 0.592 0.592 0.948
Ho 0.681 0.681 0.406
Ho 0.862 0.862 0.319
Ho 0.955 0.955 0.773
Tl 0.500 0.500 0.500

Calculated values
**Symmetry**: C2/m (12)
**Formation enthalpy at 0 K**: -0.11 eV/f.u.
**Magnetization**: 1.24 μB per formula unit

=====

14.
Entry from the Alexandria database: CeHo2Tl after structural relaxation (PBE-GGA).

a = 3.559 Å, b = 3.559 Å, c = 9.014 Å
α = 90.00°, β = 90.00°, γ = 90.00°
Fractional coordinates of all 4 atoms:
Ce 0.000 0.000 0.000
Ho 0.500 0.500 0.264
Ho 0.500 0.500 0.736
Tl 0.000 0.000 0.500

Calculated values
**Symmetry**: P4/mmm (123)
**Formation enthalpy at 0 K**: -0.55 eV/f.u.
**Polymorph energy (0 for the lowest one)**: 0 meV/atom
**Magnetization**: 0.36 μB per formula unit

=====

15.
Entry from the Alexandria database: CeHo2Tl2 after structural relaxation (PBE-GGA).

a = 5.139 Å, b = 5.139 Å, c = 12.666 Å
α = 90.00°, β = 90.00°, γ = 120.00°
Fractional coordinates of all 10 atoms:
Ce 0.000 0.000 0.250
Ce 0.000 0.000 0.750
Ho 0.000 0.000 0.000
Ho 0.000 0.000 0.500
Ho 0.333 0.667 0.250
Ho 0.667 0.333 0.750
Tl 0.333 0.667 0.623
Tl 0.333 0.667 0.877
Tl 0.667 0.333 0.123
Tl 0.667 0.333 0.377

Calculated values
**Symmetry**: P6_3/mmc (194)
**Formation enthalpy at 0 K**: 0.27 eV/f.u.
**Polymorph energy (0 for the lowest one)**: 286 meV/atom
**Magnetization**: 0.48 μB per formula unit

=====

16.
Entry from the Alexandria database: CeHoTl6 after structural relaxation (PBE-GGA).

a = 4.798 Å, b = 4.798 Å, c = 9.576 Å
α = 90.00°, β = 90.00°, γ = 90.00°
Fractional coordinates of all 8 atoms:
Ce 0.000 0.000 0.000
Ho 0.000 0.000 0.500
Tl 0.000 0.500 0.253
Tl 0.000 0.500 0.747
Tl 0.500 0.000 0.253
Tl 0.500 0.000 0.747
Tl 0.500 0.500 0.000
Tl 0.500 0.500 0.500

Calculated values
**Symmetry**: P4/mmm (123)
**Formation enthalpy at 0 K**: -1.84 eV/f.u.
**Magnetization**: 1.02 μB per formula unit

=====

17.
Entry from the Alexandria database: Ce2HoTl4 after structural relaxation (PBE-GGA).

a = 7.634 Å, b = 7.634 Å, c = 5.065 Å
α = 90.00°, β = 90.00°, γ = 129.97°
Fractional coordinates of all 7 atoms:
Ce 0.101 0.899 0.000
Ce 0.899 0.101 0.000
Ho 0.500 0.500 0.500
Tl 0.245 0.755 0.500
Tl 0.371 0.629 0.000
Tl 0.629 0.371 0.000
Tl 0.755 0.245 0.500

Calculated values
**Symmetry**: Cmmm (65)
**Formation enthalpy at 0 K**: 0.87 eV/f.u.
**Polymorph energy (0 for the lowest one)**: 252 meV/atom
**Magnetization**: 2.54 μB per formula unit

=====

18.
Entry from the Alexandria database: CeHo2Tl after structural relaxation (PBE-GGA).

a = 5.388 Å, b = 5.388 Å, c = 5.388 Å
α = 60.00°, β = 60.00°, γ = 60.00°
Fractional coordinates of all 4 atoms:
Ce 0.000 0.000 0.000
Ho 0.250 0.250 0.250
Ho 0.750 0.750 0.750
Tl 0.500 0.500 0.500

Calculated values
**Symmetry**: Fm-3m (225)
**Formation enthalpy at 0 K**: 0.12 eV/f.u.
**Polymorph energy (0 for the lowest one)**: 168 meV/atom
**Magnetization**: 0.47 μB per formula unit

=====

19.
Entry from the Alexandria database: CeHo4Tl2 after structural relaxation (PBE-GGA).

a = 10.392 Å, b = 10.392 Å, c = 10.392 Å
α = 28.65°, β = 28.65°, γ = 28.65°
Fractional coordinates of all 7 atoms:
Ce 0.000 0.000 0.000
Ho 0.210 0.210 0.210
Ho 0.383 0.383 0.383
Ho 0.617 0.617 0.617
Ho 0.790 0.790 0.790
Tl 0.104 0.104 0.104
Tl 0.896 0.896 0.896

Calculated values
**Symmetry**: R-3m (166)
**Formation enthalpy at 0 K**: 0.93 eV/f.u.
**Magnetization**: 1.96 μB per formula unit

=====

20.
Entry from the Alexandria database: CeHoTl3 after structural relaxation (PBE-GGA).

a = 7.375 Å, b = 7.375 Å, c = 6.598 Å
α = 90.00°, β = 90.00°, γ = 120.00°
Fractional coordinates of all 10 atoms:
Ce 0.333 0.667 0.250
Ce 0.667 0.333 0.750
Ho 0.000 0.000 0.000
Ho 0.000 0.000 0.500
Tl 0.199 0.397 0.750
Tl 0.199 0.801 0.750
Tl 0.397 0.199 0.250
Tl 0.603 0.801 0.750
Tl 0.801 0.199 0.250
Tl 0.801 0.603 0.250

Calculated values
**Symmetry**: P6_3/mmc (194)
**Formation enthalpy at 0 K**: -0.36 eV/f.u.
**Magnetization**: 1.40 μB per formula unit